# 1
ErBiTeO6 | GGA-PBE | relaxed

Cell and atoms, written as POSCAR:
```
ErBiTeO6
1.0
5.5984 0.0000 0.0000
-2.7992 4.8483 0.0000
0.0000 0.0000 9.6760
Er Bi Te O
2 2 2 12
direct
0.3333 0.6667 0.2500 Er
0.6667 0.3333 0.7500 Er
0.0000 0.0000 0.0000 Bi
0.0000 0.0000 0.5000 Bi
0.3333 0.6667 0.7500 Te
0.6667 0.3333 0.2500 Te
0.0384 0.3790 0.6371 O
0.0384 0.6594 0.8629 O
0.3406 0.3790 0.8629 O
0.3406 0.9616 0.6371 O
0.3790 0.0384 0.1371 O
0.3790 0.3406 0.3629 O
0.6210 0.6594 0.6371 O
0.6210 0.9616 0.8629 O
0.6594 0.0384 0.3629 O
0.6594 0.6210 0.1371 O
0.9616 0.3406 0.1371 O
0.9616 0.6210 0.3629 O
```

Computed properties:
ΔE_f (raw) = -16.30 eV per formula unit
total energy = -6.4044 eV/atom

# 2
Er2TiBiO6 | GGA-PBE | relaxed

Cell and atoms, written as POSCAR:
```
Er2TiBiO6
1.0
5.2964 0.0000 0.0000
0.0000 5.2964 0.0000
0.0000 0.0000 5.5095
Er Ti Bi O
2 1 1 6
direct
0.0000 0.5000 0.0000 Er
0.5000 0.0000 0.0000 Er
0.0000 0.0000 0.6372 Ti
0.5000 0.5000 0.5297 Bi
0.0000 0.0000 0.3053 O
0.2346 0.2346 0.7847 O
0.2346 0.7654 0.7847 O
0.5000 0.5000 0.1311 O
0.7654 0.2346 0.7847 O
0.7654 0.7654 0.7847 O
```

Computed properties:
ΔE_f (raw) = -25.41 eV per formula unit
total energy = -7.6066 eV/atom

# 3
ErTlBi2O6 | GGA-PBE | relaxed

Cell and atoms, written as POSCAR:
```
ErTlBi2O6
1.0
3.0061 1.7356 5.0818
-3.0061 1.7356 5.0818
0.0000 -3.4712 5.0818
Er Tl Bi O
1 1 2 6
direct
0.0000 0.0000 0.0000 Er
0.5043 0.5043 0.5043 Tl
0.2887 0.2887 0.2887 Bi
0.7846 0.7846 0.7846 Bi
0.1260 0.6899 0.3554 O
0.1805 0.6347 0.8607 O
0.3554 0.1260 0.6899 O
0.6347 0.8607 0.1805 O
0.6899 0.3554 0.1260 O
0.8607 0.1805 0.6347 O
```

Computed properties:
ΔE_f (raw) = -16.59 eV per formula unit
total energy = -6.1034 eV/atom

# 4
Er2Tl2BiO6 | GGA-PBE | relaxed

Cell and atoms, written as POSCAR:
```
Er2Tl2BiO6
1.0
3.0093 -5.1920 0.0000
3.0093 5.1920 0.0000
-2.1011 0.0000 6.5489
Er Tl Bi O
2 2 1 6
direct
0.1654 0.8346 0.0000 Er
0.8346 0.1654 0.0000 Er
0.3292 0.6708 0.5000 Tl
0.6708 0.3292 0.5000 Tl
0.5000 0.5000 0.0000 Bi
0.1040 0.4442 0.8295 O
0.2270 0.2270 0.1693 O
0.4442 0.1040 0.8295 O
0.5558 0.8960 0.1705 O
0.7730 0.7730 0.8307 O
0.8960 0.5558 0.1705 O
```

Computed properties:
ΔE_f (raw) = -21.86 eV per formula unit
total energy = -6.3044 eV/atom

# 5
Er4TlBi3O12 | GGA-PBE | relaxed

Cell and atoms, written as POSCAR:
```
Er4TlBi3O12
1.0
-4.2577 4.2577 4.2577
4.2577 -4.2577 4.2577
4.2577 4.2577 -4.2577
Er Tl Bi O
4 1 3 12
direct
0.0000 0.0000 0.5000 Er
0.0000 0.5000 0.0000 Er
0.5000 0.0000 0.0000 Er
0.5000 0.5000 0.5000 Er
0.0000 0.0000 0.0000 Tl
0.0000 0.5000 0.5000 Bi
0.5000 0.0000 0.5000 Bi
0.5000 0.5000 0.0000 Bi
0.1219 0.8076 0.3143 O
0.1924 0.3143 0.5066 O
0.1924 0.6857 0.8781 O
0.3143 0.1219 0.8076 O
0.3143 0.5066 0.1924 O
0.4934 0.8076 0.6857 O
0.5066 0.1924 0.3143 O
0.6857 0.4934 0.8076 O
0.6857 0.8781 0.1924 O
0.8076 0.3143 0.1219 O
0.8076 0.6857 0.4934 O
0.8781 0.1924 0.6857 O
```

Computed properties:
ΔE_f (raw) = -43.65 eV per formula unit
total energy = -6.7704 eV/atom

# 6
ErTlBi2O4 | GGA-PBE | relaxed

Cell and atoms, written as POSCAR:
```
ErTlBi2O4
1.0
3.8870 0.0000 0.0000
0.0000 3.8870 0.0000
0.0000 0.0000 10.5381
Er Tl Bi O
1 1 2 4
direct
0.0000 0.0000 0.0000 Er
0.0000 0.0000 0.5000 Tl
0.5000 0.5000 0.2378 Bi
0.5000 0.5000 0.7622 Bi
0.0000 0.5000 0.1293 O
0.0000 0.5000 0.8707 O
0.5000 0.0000 0.1293 O
0.5000 0.0000 0.8707 O
```

Computed properties:
ΔE_f (raw) = -13.19 eV per formula unit
total energy = -5.9637 eV/atom

# 7
ErTmBi2O6 | GGA-PBE | relaxed

Cell and atoms, written as POSCAR:
```
ErTmBi2O6
1.0
2.9874 1.7248 5.0468
-2.9874 1.7248 5.0468
0.0000 -3.4496 5.0468
Er Tm Bi O
1 1 2 6
direct
0.0000 0.0000 0.0000 Er
0.4994 0.4994 0.4994 Tm
0.2863 0.2863 0.2863 Bi
0.7865 0.7865 0.7865 Bi
0.1372 0.6900 0.3528 O
0.1920 0.6362 0.8507 O
0.3528 0.1372 0.6900 O
0.6362 0.8507 0.1920 O
0.6900 0.3528 0.1372 O
0.8507 0.1920 0.6362 O
```

Computed properties:
ΔE_f (raw) = -24.11 eV per formula unit
total energy = -7.0651 eV/atom

# 8
Er2UBiO8 | GGA-PBE | relaxed

Cell and atoms, written as POSCAR:
```
Er2UBiO8
1.0
3.5212 -3.6358 0.0000
3.5212 3.6358 0.0000
0.0000 0.0000 7.0584
Er U Bi O
2 1 1 8
direct
0.0000 0.0000 0.2488 Er
0.0000 0.0000 0.7512 Er
0.5000 0.5000 0.0000 U
0.5000 0.5000 0.5000 Bi
0.1888 0.1888 0.5000 O
0.2063 0.2063 0.0000 O
0.3118 0.6882 0.2306 O
0.3118 0.6882 0.7694 O
0.6882 0.3118 0.2306 O
0.6882 0.3118 0.7694 O
0.7937 0.7937 0.0000 O
0.8112 0.8112 0.5000 O
```

Computed properties:
ΔE_f (raw) = -33.54 eV per formula unit
total energy = -8.1248 eV/atom

Repeat the third record exactly.
ErTlBi2O6 | GGA-PBE | relaxed

Cell and atoms, written as POSCAR:
```
ErTlBi2O6
1.0
3.0061 1.7356 5.0818
-3.0061 1.7356 5.0818
0.0000 -3.4712 5.0818
Er Tl Bi O
1 1 2 6
direct
0.0000 0.0000 0.0000 Er
0.5043 0.5043 0.5043 Tl
0.2887 0.2887 0.2887 Bi
0.7846 0.7846 0.7846 Bi
0.1260 0.6899 0.3554 O
0.1805 0.6347 0.8607 O
0.3554 0.1260 0.6899 O
0.6347 0.8607 0.1805 O
0.6899 0.3554 0.1260 O
0.8607 0.1805 0.6347 O
```

Computed properties:
ΔE_f (raw) = -16.59 eV per formula unit
total energy = -6.1034 eV/atom

The lowest total energy belongs to which entry?
Er2UBiO8

Repeat the first record exactly.
ErBiTeO6 | GGA-PBE | relaxed

Cell and atoms, written as POSCAR:
```
ErBiTeO6
1.0
5.5984 0.0000 0.0000
-2.7992 4.8483 0.0000
0.0000 0.0000 9.6760
Er Bi Te O
2 2 2 12
direct
0.3333 0.6667 0.2500 Er
0.6667 0.3333 0.7500 Er
0.0000 0.0000 0.0000 Bi
0.0000 0.0000 0.5000 Bi
0.3333 0.6667 0.7500 Te
0.6667 0.3333 0.2500 Te
0.0384 0.3790 0.6371 O
0.0384 0.6594 0.8629 O
0.3406 0.3790 0.8629 O
0.3406 0.9616 0.6371 O
0.3790 0.0384 0.1371 O
0.3790 0.3406 0.3629 O
0.6210 0.6594 0.6371 O
0.6210 0.9616 0.8629 O
0.6594 0.0384 0.3629 O
0.6594 0.6210 0.1371 O
0.9616 0.3406 0.1371 O
0.9616 0.6210 0.3629 O
```

Computed properties:
ΔE_f (raw) = -16.30 eV per formula unit
total energy = -6.4044 eV/atom

Look up the total energy of the third one.
-6.1034 eV/atom